No. 1
Density functional theory data (GGA-PBE) for Zr2IrAu after structural relaxation.

Lattice parameters (Å, degrees): 4.811 4.811 3.312 90.00 90.00 90.00
Atoms (fractional coordinates):
Zr  0.000  0.500  0.000
Zr  0.500  0.000  0.000
Ir  0.000  0.000  0.500
Au  0.500  0.500  0.500

## Properties
SG	P4/mmm, No. 123

=====

No. 2
Density functional theory data (GGA-PBE) for Mg2SnPbAu4 after structural relaxation.

Lattice parameters (Å, degrees): 9.500 9.500 9.500 28.23 28.23 28.23
Atoms (fractional coordinates):
Mg  0.247  0.247  0.247
Mg  0.753  0.753  0.753
Sn  0.500  0.500  0.500
Pb  0.000  0.000  0.000
Au  0.121  0.121  0.121
Au  0.390  0.390  0.390
Au  0.610  0.610  0.610
Au  0.879  0.879  0.879

## Properties
SG	R-3m, No. 166

=====

No. 3
Density functional theory data (GGA-PBE) for Zr4GaPd after structural relaxation.

Lattice parameters (Å, degrees): 5.491 5.491 5.491 103.49 103.49 122.24
Atoms (fractional coordinates):
Zr  0.095  0.595  0.189
Zr  0.405  0.905  0.811
Zr  0.595  0.405  0.500
Zr  0.905  0.095  0.500
Ga  0.000  0.000  0.000
Pd  0.500  0.500  0.000

## Properties
SG	I422, No. 97
energy relative to the lowest polymorph listed for this composition	0.000	eV per atom

=====

No. 4
Density functional theory data (GGA-PBE) for Ho7ErTm4 after structural relaxation.

Lattice parameters (Å, degrees): 6.610 6.610 12.530 115.22 115.22 51.91
Atoms (fractional coordinates):
Ho  0.000  0.000  0.000
Ho  0.134  0.134  0.501
Ho  0.288  0.288  0.076
Ho  0.439  0.439  0.679
Ho  0.561  0.561  0.321
Ho  0.712  0.712  0.924
Ho  0.866  0.866  0.499
Er  0.500  0.500  0.000
Tm  0.137  0.137  0.775
Tm  0.254  0.254  0.317
Tm  0.746  0.746  0.683
Tm  0.863  0.863  0.225

## Properties
SG	C2/m, No. 12
energy relative to the lowest polymorph listed for this composition	0.213	eV per atom

=====

No. 5
Density functional theory data (GGA-PBE) for La2AlAu after structural relaxation.

Lattice parameters (Å, degrees): 3.811 4.877 6.411 90.00 90.00 90.00
Atoms (fractional coordinates):
La  0.000  0.000  0.000
La  0.500  0.500  0.392
Al  0.000  0.000  0.509
Au  0.500  0.500  0.886

## Properties
SG	Pmm2, No. 25

=====

No. 6
Density functional theory data (GGA-PBE) for Ta4Pt after structural relaxation.

Lattice parameters (Å, degrees): 7.080 7.080 2.819 96.56 96.56 38.72
Atoms (fractional coordinates):
Ta  0.099  0.099  0.413
Ta  0.297  0.297  0.188
Ta  0.703  0.703  0.812
Ta  0.901  0.901  0.587
Pt  0.500  0.500  0.000

## Properties
SG	C2/m, No. 12
energy relative to the lowest polymorph listed for this composition	0.073	eV per atom

=====

No. 7
Density functional theory data (GGA-PBE) for SmBe4Au8 after structural relaxation.

Lattice parameters (Å, degrees): 8.433 8.433 8.433 41.18 41.18 41.18
Atoms (fractional coordinates):
Sm  0.000  0.000  0.000
Be  0.000  0.500  0.500
Be  0.500  0.000  0.500
Be  0.500  0.500  0.000
Be  0.500  0.500  0.500
Au  0.218  0.732  0.732
Au  0.268  0.268  0.782
Au  0.268  0.782  0.268
Au  0.271  0.271  0.271
Au  0.729  0.729  0.729
Au  0.732  0.218  0.732
Au  0.732  0.732  0.218
Au  0.782  0.268  0.268

## Properties
SG	R-3m, No. 166
energy relative to the lowest polymorph listed for this composition	0.332	eV per atom

=====

No. 8
Density functional theory data (GGA-PBE) for LaZr2Tl after structural relaxation.

Lattice parameters (Å, degrees): 10.580 10.580 10.580 18.47 18.47 18.47
Atoms (fractional coordinates):
La  0.000  0.000  0.000
Zr  0.247  0.247  0.247
Zr  0.753  0.753  0.753
Tl  0.500  0.500  0.500

## Properties
SG	R-3m, No. 166
energy relative to the lowest polymorph listed for this composition	0.151	eV per atom

=====

| no. | E (eV per atom) |
| --- | --- |
| 1 | -7.907 |
| 2 | -3.295 |
| 3 | -7.520 |
| 4 | -4.235 |
| 5 | -4.523 |
| 6 | -10.897 |
| 7 | -3.462 |
| 8 | -5.977 |